## ZnRhIO2 (PBE)

Data for crystalline ZnRhIO2 at its relaxed geometry.

Output
excess energy over the best structure of this formula in the dataset = 378 meV/atom
formation energy (no corrections) = 0.24 eV per atom
electronic total energy = -3.774 eV/atom

```
data_ZnRhIO2
_cell_length_a 3.825
_cell_length_b 3.825
_cell_length_c 6.429
_cell_angle_alpha 90.00
_cell_angle_beta 90.00
_cell_angle_gamma 90.00
_symmetry_space_group_name_H-M 'P 4/m m m'
_symmetry_Int_Tables_number 123
_symmetry_space_group_name_Hall '-P 4 2'
loop_
_atom_site_label
_atom_site_type_symbol
_atom_site_fract_x
_atom_site_fract_y
_atom_site_fract_z
Zn1 Zn 0.000 0.000 0.000
Rh1 Rh 0.500 0.500 0.500
I1 I 0.000 0.000 0.500
O1 O 0.000 0.500 0.000
```